VASP calculation (PBE) on a geometry-optimized La2NdLu structure.

a = 8.248 Å, b = 8.248 Å, c = 8.248 Å
α = 90.00°, β = 90.00°, γ = 90.00°
Space group Fm-3m (No. 225)
Unique sites:
La1 0.250 0.250 0.250 [8 per cell]
Nd1 0.000 0.000 0.000 [4 per cell]
Lu1 0.000 0.000 0.500 [4 per cell]

## Properties
Its crystal system is cubic. The energy of formation from the pure elements comes out at 0.100 eV/atom. For the calculated total energy, the calculation gives -4.686 eV/atom. As for the density of states at the Fermi level: 8.3 states/eV/f.u.